First-principles (GGA-PBE) data for crystalline Th2Mg2Sc7 at its relaxed geometry, as listed in Alexandria via LeMat-Bulk.

a = 3.376 Å, b = 8.076 Å, c = 10.891 Å
α = 106.04°, β = 98.79°, γ = 90.14°
Space group P-1 (No. 2)
Symmetry-distinct sites (fractional):
1 Th 0.088 0.240 0.175 [2 per cell]
2 Mg 0.186 0.964 0.372 [2 per cell]
3 Sc 0.000 0.500 0.000 [1 per cell]
4 Sc 0.276 0.675 0.550 [2 per cell]
5 Sc 0.359 0.397 0.721 [2 per cell]
6 Sc 0.450 0.131 0.900 [2 per cell]

Calculated values
The calculation puts the theoretical density at 4.9 Mg/m³. For the energy of formation from the pure elements, the calculation gives 28 meV/atom. Its crystal system is triclinic.